YbSnAu: optimized geometry, PBE-GGA.

POSCAR file:
```
YbSnAu
1.0
12.002 -0.010 0.006
8.216 8.749 -0.006
-9.163 -6.557 4.134
Yb Au Sn
6 6 6
Cartesian
6.326 3.893 2.140
4.833 -1.951 2.146
1.385 -3.204 2.020
-0.437 1.012 2.117
2.828 2.668 1.988
8.121 -0.242 1.993
12.268 4.004 0.690
-4.509 -3.260 3.451
6.606 6.732 0.696
2.572 -0.210 0.702
8.896 2.546 0.690
5.464 1.051 3.451
-1.105 -1.762 3.437
15.855 5.549 0.693
2.040 -0.402 3.437
3.822 -4.887 3.473
9.157 2.618 3.467
5.313 0.992 0.693
```

Output
* energy of formation from the pure elements: -17.46 kcal/mol of atoms
* DOS at the Fermi energy: 94.05 states/eV/cell
* uncorrected energy: -66.5 eV per cell
* symmetry: No. 44
* total magnetization: 0.1 μB per formula unit



CeScPd4: optimized geometry, PBE-GGA.

POSCAR file:
```
CeScPd4
1.0
5.409 0.000 0.000
2.705 4.685 0.000
2.705 1.562 4.417
Pd Sc Ce
4 1 1
Cartesian
5.409 1.568 2.758
6.756 3.901 2.758
4.062 3.901 2.758
5.409 3.123 0.559
2.705 1.562 1.104
0.000 0.000 0.000
```

Output
* polymorph energy (0 for the lowest one): 79 meV/atom
* energy of formation from the pure elements: -15.53 kcal/mol of atoms
* DOS at the Fermi energy: 8.10 states/eV/cell
* uncorrected energy: -37.1 eV per cell
* symmetry: No. 216
* total magnetization: 1.0 μB per formula unit



Tb3Y2Al2: optimized geometry, PBE-GGA.

POSCAR file:
```
Tb3Y2Al2
1.0
-0.031 -3.309 1.037
3.111 -0.484 -1.452
7.161 2.648 14.458
Al Tb Y
2 3 2
Cartesian
7.823 0.225 12.544
2.418 -1.370 1.498
5.415 1.601 11.065
0.000 0.000 0.000
1.716 -2.261 4.430
5.791 -0.993 8.598
4.450 -0.152 5.445
```

Output
* polymorph energy (0 for the lowest one): 62 meV/atom
* energy of formation from the pure elements: -3.45 kcal/mol of atoms
* DOS at the Fermi energy: 6.91 states/eV/cell
* uncorrected energy: -35.4 eV per cell
* symmetry: No. 65
* total magnetization: 0.4 μB per formula unit



GdHoErOs: optimized geometry, PBE-GGA.

POSCAR file:
```
GdHoErOs
1.0
-0.627 -5.010 0.790
4.075 -3.014 0.651
0.987 -2.006 4.596
Os Gd Ho Er
1 1 1 1
Cartesian
1.109 -2.507 1.509
0.000 0.000 0.000
2.217 -5.015 3.018
3.326 -7.522 4.527
```

Output
* energy of formation from the pure elements: 2.81 kcal/mol of atoms
* DOS at the Fermi energy: 4.15 states/eV/cell
* uncorrected energy: -34.0 eV per cell
* symmetry: No. 216
* total magnetization: 7.2 μB per formula unit



Na2HgRu: optimized geometry, PBE-GGA.

POSCAR file:
```
Na2HgRu
1.0
-4.896 2.282 6.105
-6.369 -0.056 -5.087
-6.102 -1.544 1.126
Ru Na Hg
2 4 2
Cartesian
-9.052 -0.244 -1.726
-5.633 1.113 0.509
-8.828 -0.323 1.204
-5.361 1.024 3.435
-14.407 0.790 1.756
-6.139 -0.126 -2.109
0.000 0.000 0.000
-8.315 0.926 3.870
```

Output
* energy of formation from the pure elements: 16.17 kcal/mol of atoms
* DOS at the Fermi energy: 8.07 states/eV/cell
* uncorrected energy: -18.8 eV per cell
* symmetry: No. 122
* total magnetization: 1.6 μB per formula unit



YCd2W: optimized geometry, PBE-GGA.

POSCAR file:
```
YCd2W
1.0
6.786 0.006 0.018
-2.705 4.687 -0.004
1.375 0.795 2.618
Cd W Y
2 1 1
Cartesian
0.000 0.000 0.000
4.081 0.400 1.318
-0.665 2.741 1.307
2.040 2.346 0.007
```

Output
* polymorph energy (0 for the lowest one): 91 meV/atom
* energy of formation from the pure elements: 9.28 kcal/mol of atoms
* DOS at the Fermi energy: 2.28 states/eV/cell
* uncorrected energy: -19.6 eV per cell
* symmetry: No. 65
* total magnetization: 0.0 μB per formula unit



Ca8AlPb2: optimized geometry, PBE-GGA.

POSCAR file:
```
Ca8AlPb2
1.0
-4.791 2.486 -1.217
-0.365 -3.888 -6.503
-1.689 -5.571 7.849
Pb Ca Al
2 8 1
Cartesian
-1.781 -4.293 -1.758
-5.065 -2.680 1.887
-3.660 -1.507 -1.246
-5.250 -4.629 -1.362
-3.185 -5.466 1.375
-1.595 -2.344 1.491
-3.014 -3.646 4.420
-0.091 -0.973 -1.628
-3.831 -3.327 -4.291
-6.754 -6.000 1.757
-2.396 1.243 -0.609
```

Output
* energy of formation from the pure elements: -6.60 kcal/mol of atoms
* DOS at the Fermi energy: 6.46 states/eV/cell
* uncorrected energy: -30.3 eV per cell
* symmetry: No. 71
* total magnetization: 0.0 μB per formula unit



Re3AgRu: optimized geometry, PBE-GGA.

POSCAR file:
```
Re3AgRu
1.0
4.654 0.000 0.000
0.000 4.654 0.000
0.000 0.000 4.654
Re Ru Ag
3 1 1
Cartesian
0.000 2.327 0.000
0.000 0.000 2.327
2.327 0.000 0.000
2.327 2.327 2.327
0.000 0.000 0.000
```

Output
* energy of formation from the pure elements: 75.95 kcal/mol of atoms
* DOS at the Fermi energy: 7.62 states/eV/cell
* uncorrected energy: -33.0 eV per cell
* symmetry: No. 221
* total magnetization: 0.0 μB per formula unit



> Which value of DOS at the Fermi energy does entry 2 give?

8.10 states/eV/cell



> Look up the uncorrected energy of the fourth one.

-34.0 eV per cell



Please write out number 3 again, unchanged.
Tb3Y2Al2: optimized geometry, PBE-GGA.

POSCAR file:
```
Tb3Y2Al2
1.0
-0.031 -3.309 1.037
3.111 -0.484 -1.452
7.161 2.648 14.458
Al Tb Y
2 3 2
Cartesian
7.823 0.225 12.544
2.418 -1.370 1.498
5.415 1.601 11.065
0.000 0.000 0.000
1.716 -2.261 4.430
5.791 -0.993 8.598
4.450 -0.152 5.445
```

Output
* polymorph energy (0 for the lowest one): 62 meV/atom
* energy of formation from the pure elements: -3.45 kcal/mol of atoms
* DOS at the Fermi energy: 6.91 states/eV/cell
* uncorrected energy: -35.4 eV per cell
* symmetry: No. 65
* total magnetization: 0.4 μB per formula unit



> Which of these has the highest DOS at the Fermi energy?

YbSnAu